Record 1
DFT (PBE) results for a relaxed Cd2Si2Sn crystal.

Lattice parameters (Å, degrees): 7.3429 7.3429 4.0902 90.00 90.00 90.00
Space group P4/mbm (No. 127)
Unique sites:
Cd1 0.1836 0.3164 0.0000 x4
Si1 0.1148 0.6148 0.5000 x4
Sn1 0.0000 0.0000 0.5000 x2

Properties
Its energy above the most stable polymorph in this dataset is 92 meV per atom. Its calculated total energy is -2.991 eV per atom. The calculation puts the density at 6.0 g/cm3. For the formation energy from raw total energies, the calculation gives 0.34 eV/atom.

Record 2
DFT (PBE) results for a relaxed KTl2Cd crystal.

Lattice parameters (Å, degrees): 6.6535 10.8785 3.9662 90.00 90.00 90.00
Space group Cmmm (No. 65)
Unique sites:
K1 0.0000 0.0000 0.0000 x2
Tl1 0.0000 0.2915 0.5000 x4
Cd1 0.0000 0.5000 0.0000 x2

Properties
The calculation puts the formation energy at 22 meV per atom. Its calculated total energy is -1.664 eV per atom. The calculation puts the density at 6.5 g/cm3.

Record 3
DFT (PBE) results for a relaxed LaTb6Er8 crystal.

Lattice parameters (Å, degrees): 8.9972 8.9972 20.5996 90.00 90.00 120.00
Space group R-3 (No. 148, hexagonal axes)
Unique sites:
La1 0.0000 0.0000 0.0000 x3
Tb1 0.0617 0.2451 0.7089 x18
Er1 0.0000 0.0000 0.4234 x6
Er2 0.0803 0.5524 0.8087 x18

Properties
The calculation puts the formation energy at 137 meV per atom. Its calculated total energy is -4.477 eV per atom. The calculation puts the density at 8.4 g/cm3.

Record 4
DFT (PBE) results for a relaxed Co2MoRh crystal.

Lattice parameters (Å, degrees): 5.9436 5.9436 5.9436 90.00 90.00 90.00
Space group F-43m (No. 216)
Unique sites:
Co1 0.0000 0.0000 0.0000 x4
Co2 0.2500 0.2500 0.2500 x4
Mo1 0.0000 0.0000 0.5000 x4
Rh1 0.2500 0.2500 0.7500 x4

Properties
The calculation puts the formation energy at 220 meV per atom. Its energy above the most stable polymorph in this dataset is 259 meV per atom. Its calculated total energy is -7.879 eV per atom. The calculation puts the density at 10.0 g/cm3.

Record 5
DFT (PBE) results for a relaxed Ba2AcTl2 crystal.

Lattice parameters (Å, degrees): 9.5979 13.4790 7.3293 90.00 90.00 90.00
Space group Ibam (No. 72)
Unique sites:
Ba1 0.1341 0.1609 0.0000 x8
Ac1 0.0000 0.5000 0.2500 x4
Tl1 0.2294 0.0947 0.5000 x8

Properties
The calculation puts the formation energy at -157 meV per atom. Its energy above the most stable polymorph in this dataset is 133 meV per atom. Its calculated total energy is -2.695 eV per atom. The calculation puts the density at 6.4 g/cm3.

Record 6
DFT (PBE) results for a relaxed TlAs2PbBr crystal.

Lattice parameters (Å, degrees): 5.4957 5.4957 6.0336 90.00 90.00 90.00
Space group P4/mmm (No. 123)
Unique sites:
Tl1 0.0000 0.0000 0.0000 x1
As1 0.0000 0.5000 0.5000 x2
Pb1 0.5000 0.5000 0.5000 x1
Br1 0.5000 0.5000 0.0000 x1

Properties
Its energy above the most stable polymorph in this dataset is 0 meV per atom. Its calculated total energy is -3.028 eV per atom. The calculation puts the density at 5.8 g/cm3. For the formation energy from raw total energies, the calculation gives 0.38 eV/atom.

Record 7
DFT (PBE) results for a relaxed AlAg2C2O6 crystal.

Lattice parameters (Å, degrees): 8.0179 4.9247 7.4361 90.00 109.83 90.00
Space group C2/m (No. 12)
Unique sites:
Al1 0.0000 0.0000 0.0000 x2
Ag1 0.1910 0.0000 0.5866 x4
C1 0.0886 0.5000 0.8473 x4
O1 0.0018 0.2738 0.1852 x8
O2 0.2447 0.0000 0.1038 x4

Properties
Its calculated total energy is -6.481 eV per atom. The calculation puts the density at 4.4 g/cm3. For the formation energy from raw total energies, the calculation gives -1.24 eV/atom.

Record 8
DFT (PBE) results for a relaxed NaBiN3 crystal.

Lattice parameters (Å, degrees): 4.4030 4.4030 4.4030 90.00 90.00 90.00
Space group Pm-3m (No. 221)
Unique sites:
Na1 0.0000 0.0000 0.0000 x1
Bi1 0.5000 0.5000 0.5000 x1
N1 0.0000 0.5000 0.5000 x3

Properties
Its calculated total energy is -4.400 eV per atom. The calculation puts the density at 5.3 g/cm3. For the formation energy from raw total energies, the calculation gives 1.64 eV/atom.

What did the first record say?
DFT (PBE) results for a relaxed Cd2Si2Sn crystal.

Lattice parameters (Å, degrees): 7.3429 7.3429 4.0902 90.00 90.00 90.00
Space group P4/mbm (No. 127)
Unique sites:
Cd1 0.1836 0.3164 0.0000 x4
Si1 0.1148 0.6148 0.5000 x4
Sn1 0.0000 0.0000 0.5000 x2

Properties
Its energy above the most stable polymorph in this dataset is 92 meV per atom. Its calculated total energy is -2.991 eV per atom. The calculation puts the density at 6.0 g/cm3. For the formation energy from raw total energies, the calculation gives 0.34 eV/atom.

Q: Among the records above, which one has the highest calculated total energy?
A: KTl2Cd

Q: Which of these has the lowest density?
A: AlAg2C2O6